## BaCaTm4S8 (PBE-GGA)

Data for crystalline BaCaTm4S8 at its relaxed geometry.

Energy   -5.907 eV per atom
Spin magnetization   0.0 μB per cell
Density of states at the Fermi level   0.000 states/eV/atom

Lattice parameters (Å, degrees): 8.1509 8.1509 20.3903 90.00 90.00 120.00
Closest atoms and distances in Å follow each position.
Space group R3m (No. 160, hexagonal axes)
Symmetry-distinct sites (fractional):
Ba 0.0000 0.0000 0.0000 x3  4 S 2.88-2.91
Ca 0.0000 0.0000 0.6274 x3  6 S 2.78-2.92
Tm 0.0000 0.0000 0.2487 x3  4 S 2.61-2.71
Tm 0.1702 0.3404 0.4579 x9  6 S 2.62-2.86
S 0.0000 0.0000 0.3817 x3  4 Tm 2.71-2.86
S 0.0000 0.0000 0.8573 x3  3 Tm 2.67, 1 Ba 2.91
S 0.0445 0.5223 0.3866 x9  2 Tm 2.62, 1 Ca 2.78, 1 Ba 2.88
S 0.1732 0.3464 0.2034 x9  3 Tm 2.61-2.83, 1 Ca 2.92